(a)
Material: Ir2OsPd
Method: DFT, PBE
State: optimized geometry

```
4
Lattice="2.589 0.819 0.000 0.583 2.652 0.000 0.000 0.000 9.430" Properties=species:S:1:pos:R:3 pbc="T T T"
Ir 0.000 0.000 4.665
Ir 0.000 0.000 0.050
Pd 1.586 1.736 7.073
Os 1.586 1.736 2.358
```

## Properties
- Total magnetic moment: 0.42 μB per cell
- Space group: Cmmm, No. 65
- V: 60.24 Å³ per cell


(b)
Material: Ir2OsPd
Method: DFT, PBE
State: optimized geometry

```
8
Lattice="-4.485 -4.969 2.290 0.574 -3.372 -6.192 0.099 -5.583 -0.992" Properties=species:S:1:pos:R:3 pbc="T T T"
Os -3.171 -7.361 -0.327
Os 0.000 0.000 0.000
Ir -1.413 -7.195 -1.988
Ir -2.866 -5.099 0.490
Ir -0.018 -3.948 -3.913
Ir -3.327 -11.605 -4.378
Pd -0.641 -6.563 -4.568
Pd -1.955 -4.171 -1.951
```

## Properties
- Total magnetic moment: 0.00 μB per cell
- Space group: I-42d, No. 122
- V: 133.68 Å³ per cell


Which structure wins on stability? (a) wins.


(a)
Material: Ir2OsPd
Method: DFT, PBE
State: optimized geometry

```
4
Lattice="2.741 0.000 0.000 0.000 2.741 0.000 0.000 0.000 7.813" Properties=species:S:1:pos:R:3 pbc="T T T"
Pd 1.371 1.371 3.907
Os 1.371 1.371 0.000
Ir 0.000 0.000 1.859
Ir 0.000 0.000 5.954
```

## Properties
- Total magnetic moment: 0.00 μB per cell
- Space group: P4/mmm, No. 123
- V: 58.72 Å³ per cell


(b)
Material: Ir2OsPd
Method: DFT, PBE
State: optimized geometry

```
4
Lattice="2.739 0.000 0.000 1.370 2.372 0.000 1.370 0.791 9.012" Properties=species:S:1:pos:R:3 pbc="T T T"
Ir 4.109 2.372 6.835
Ir 1.370 0.791 2.177
Pd 2.739 1.582 4.506
Os 0.000 0.000 0.000
```

## Properties
- Total magnetic moment: 0.00 μB per cell
- Space group: R-3m, No. 166
- V: 58.57 Å³ per cell


Which structure wins on stability? (b) wins.


(a)
Material: Pm4IrOs
Method: DFT, PBE
State: optimized geometry

```
12
Lattice="-7.396 0.313 2.766 5.336 -2.378 5.321 1.988 7.327 -2.191" Properties=species:S:1:pos:R:3 pbc="T T T"
Pm -1.066 1.493 0.133
Pm 1.697 0.980 2.946
Pm -2.099 0.490 4.139
Pm 4.607 2.946 4.189
Pm -1.787 4.269 2.943
Pm -4.352 6.136 0.482
Pm -4.660 2.328 1.716
Pm 2.037 4.781 1.719
Ir -1.545 -1.550 6.067
Ir -2.704 3.819 0.289
Os -0.513 -0.515 2.016
Os -3.732 2.789 4.324
```

## Properties
- Total magnetic moment: 0.00 μB per cell
- Space group: I4_1md, No. 109
- V: 377.94 Å³ per cell


(b)
Material: Pm4IrOs
Method: DFT, PBE
State: optimized geometry

```
12
Lattice="-1.199 -6.026 -1.827 7.316 -0.749 2.351 -5.179 1.948 5.877" Properties=species:S:1:pos:R:3 pbc="T T T"
Ir 2.783 -2.272 2.385
Ir -1.845 -2.555 4.015
Pm 0.167 -0.802 2.399
Pm -2.255 -3.221 0.995
Pm -0.330 -0.971 5.934
Pm 1.268 -3.856 0.467
Pm -2.762 1.477 5.668
Pm 3.700 -6.304 0.733
Pm 0.771 -4.025 4.002
Pm 3.193 -1.606 5.405
Os 1.246 -3.315 6.835
Os -0.308 -1.512 -0.434
```

## Properties
- Total magnetic moment: 0.00 μB per cell
- Space group: C2/c, No. 15
- V: 324.27 Å³ per cell


Which structure wins on stability? (b) wins.


(a)
Material: Pm8Ir2Os
Method: DFT, PBE
State: optimized geometry

```
11
Lattice="-5.824 -2.373 0.083 1.675 -0.430 -7.469 3.770 -5.162 4.234" Properties=species:S:1:pos:R:3 pbc="T T T"
Pm -1.967 -3.206 0.888
Pm 0.904 -2.406 -1.135
Pm 1.884 -4.708 -4.058
Pm -2.516 -1.967 -2.177
Pm -2.439 -6.522 1.895
Pm -3.665 -3.752 -4.956
Pm -1.121 -5.532 -2.036
Pm 2.429 -5.937 -1.018
Ir -0.454 -3.094 -3.783
Ir 0.329 -4.862 0.589
Os -0.918 -0.401 0.002
```

## Properties
- Total magnetic moment: 0.00 μB per cell
- Space group: Cm, No. 8
- V: 318.20 Å³ per cell


(b)
Material: Pm8Ir2Os
Method: DFT, PBE
State: optimized geometry

```
11
Lattice="-2.514 4.282 0.278 -5.931 -3.553 1.077 4.651 -0.677 7.991" Properties=species:S:1:pos:R:3 pbc="T T T"
Pm -0.484 -0.522 3.665
Pm -0.509 -0.767 7.210
Pm -3.311 0.575 5.681
Pm -5.849 -0.798 3.888
Pm -3.286 0.820 2.136
Pm -4.490 -2.724 1.349
Pm 2.054 0.851 5.459
Pm 0.695 2.776 7.998
Ir -0.882 2.013 5.501
Ir -2.912 -1.960 3.846
Os -1.257 2.141 0.139
```

## Properties
- Total magnetic moment: 0.00 μB per cell
- Space group: C2/m, No. 12
- V: 299.68 Å³ per cell


Which structure wins on stability? (b) wins.


(a)
Material: IrOsPt2
Method: DFT, PBE
State: optimized geometry

```
4
Lattice="0.000 3.130 3.130 3.130 0.000 3.130 3.130 3.130 0.000" Properties=species:S:1:pos:R:3 pbc="T T T"
Pt 1.565 1.565 1.565
Pt 4.696 4.696 4.696
Ir 3.130 3.130 3.130
Os 0.000 0.000 0.000
```

## Properties
- Total magnetic moment: 0.00 μB per cell
- Space group: Fm-3m, No. 225
- V: 61.35 Å³ per cell


(b)
Material: IrOsPt2
Method: DFT, PBE
State: optimized geometry

```
4
Lattice="2.765 0.000 0.000 0.000 3.881 0.000 0.000 0.000 5.597" Properties=species:S:1:pos:R:3 pbc="T T T"
Ir 0.000 0.000 2.881
Pt 1.382 1.940 1.416
Pt 0.000 0.000 5.562
Os 1.382 1.940 4.133
```

## Properties
- Total magnetic moment: 0.00 μB per cell
- Space group: Pmm2, No. 25
- V: 60.05 Å³ per cell


(c)
Material: IrOsPt2
Method: DFT, PBE
State: optimized geometry

```
4
Lattice="4.791 -0.001 0.001 3.996 2.643 0.001 0.774 0.233 4.734" Properties=species:S:1:pos:R:3 pbc="T T T"
Pt 7.187 2.162 3.554
Pt 8.756 2.634 0.012
Ir 4.815 1.448 2.297
Os 2.368 0.712 1.240
```

## Properties
- Total magnetic moment: 0.00 μB per cell
- Space group: Cm, No. 8
- V: 59.95 Å³ per cell


Which structure wins on stability? (b) wins.


(a)
Material: IrOsPt2
Method: DFT, PBE
State: optimized geometry

```
4
Lattice="2.780 0.000 0.000 0.000 3.907 0.000 0.000 0.000 5.525" Properties=species:S:1:pos:R:3 pbc="T T T"
Os 1.390 1.954 4.144
Ir 1.390 1.954 1.381
Pt 0.000 0.000 5.500
Pt 0.000 0.000 2.787
```

## Properties
- Total magnetic moment: 0.00 μB per cell
- Space group: Pmmm, No. 47
- V: 60.01 Å³ per cell


(b)
Material: IrOsPt2
Method: DFT, PBE
State: optimized geometry

```
4
Lattice="2.732 0.000 0.000 -1.390 2.352 0.000 0.000 0.000 9.600" Properties=species:S:1:pos:R:3 pbc="T T T"
Pt 0.671 1.176 2.433
Pt 0.000 0.000 9.549
Os 0.671 1.176 7.138
Ir 0.000 0.000 4.879
```

## Properties
- Total magnetic moment: 0.00 μB per cell
- Space group: Cmm2, No. 35
- V: 61.69 Å³ per cell


(c)
Material: IrOsPt2
Method: DFT, PBE
State: optimized geometry

```
4
Lattice="-3.722 1.878 2.304 -4.581 -0.511 1.198 0.536 -2.172 4.271" Properties=species:S:1:pos:R:3 pbc="T T T"
Pt -8.282 1.353 3.515
Pt -3.904 -0.389 3.874
Os -1.942 -0.201 1.943
Ir -5.825 -0.604 5.830
```

## Properties
- Total magnetic moment: 0.00 μB per cell
- Space group: C2/m, No. 12
- V: 59.94 Å³ per cell


Which structure wins on stability? (c) wins.


(a)
Material: Ir4OsPt
Method: DFT, PBE
State: optimized geometry

```
6
Lattice="2.744 -0.107 0.000 0.151 3.874 0.000 0.000 0.000 8.267" Properties=species:S:1:pos:R:3 pbc="T T T"
Ir 0.000 0.000 5.470
Ir 1.447 1.883 6.834
Ir 2.895 3.767 2.798
Ir 1.447 1.883 1.434
Pt 0.000 0.000 0.000
Os 1.447 1.883 4.134
```

## Properties
- Total magnetic moment: 0.00 μB per cell
- Space group: Pmmm, No. 47
- V: 88.01 Å³ per cell


(b)
Material: Ir4OsPt
Method: DFT, PBE
State: optimized geometry

```
6
Lattice="0.042 -4.990 1.120 -1.483 -1.595 4.628 -4.408 -2.537 0.539" Properties=species:S:1:pos:R:3 pbc="T T T"
Os -4.386 -6.842 4.715
Ir -2.172 -5.915 2.917
Ir -4.396 -4.690 2.628
Ir -2.194 -3.422 2.358
Ir -2.934 -4.219 4.670
Pt 0.000 0.000 0.000
```

## Properties
- Total magnetic moment: 0.81 μB per cell
- Space group: F-43m, No. 216
- V: 94.61 Å³ per cell


Which structure wins on stability? (a) wins.


(a)
Material: Ir3OsPt
Method: DFT, PBE
State: optimized geometry

```
5
Lattice="4.685 0.000 0.000 0.000 4.685 0.000 0.000 0.000 4.685" Properties=species:S:1:pos:R:3 pbc="T T T"
Pt 2.342 2.342 2.342
Ir 2.342 0.000 0.000
Ir 0.000 0.000 2.342
Ir 0.000 2.342 0.000
Os 0.000 0.000 0.000
```

## Properties
- Total magnetic moment: 0.00 μB per cell
- Space group: Pm-3m, No. 221
- V: 102.82 Å³ per cell


(b)
Material: Ir3OsPt
Method: DFT, PBE
State: optimized geometry

```
20
Lattice="-5.840 5.328 1.771 -2.228 -0.820 -4.880 -4.223 -5.569 2.831" Properties=species:S:1:pos:R:3 pbc="T T T"
Pt -6.830 1.600 0.485
Pt -5.461 -2.661 -0.764
Pt -3.358 0.131 -2.177
Pt -8.933 -1.192 1.898
Ir -4.762 -0.196 -0.029
Ir -5.040 -4.654 0.830
Ir -7.251 3.594 -1.109
Ir -8.129 -3.425 -1.193
Ir -4.113 -2.378 -3.186
Ir -7.529 -0.864 -0.249
Ir -8.179 1.317 2.907
Ir -6.196 4.068 1.345
Ir -4.162 2.364 0.914
Ir -5.944 -0.555 -2.444
Ir -6.347 -0.506 2.166
Ir -6.095 -5.129 -1.624
Os -10.024 -1.604 -0.460
Os -7.921 1.188 -1.873
Os -4.370 -2.249 1.595
Os -2.267 0.543 0.182
```

## Properties
- Total magnetic moment: 0.00 μB per cell
- Space group: P2_1/c, No. 14
- V: 331.54 Å³ per cell


Which structure wins on stability? (b) wins.